4
Lattice="1.596 0.921 10.770 -1.596 0.921 10.770 0.000 -1.843 10.770" Properties=species:S:1:pos:R:3 comment="NaTaCl2 GGA-PBE optimized geometry" polymorph_energy_ev_per_atom=0.059 e_tot_ry_per_atom=-0.349 pbc="T T T"
Na 0.000 0.000 0.000
Ta 0.000 0.000 16.155
Cl 0.000 0.000 3.592
Cl 0.000 0.000 28.717

10
Lattice="6.803 0.000 0.000 0.000 6.803 0.000 0.000 0.000 2.844" Properties=species:S:1:pos:R:3 comment="V2Cr2Ir GGA-PBE optimized geometry" e_tot_ry_per_atom=-0.664 ef_ev_per_atom=0.23 pbc="T T T"
V 0.944 2.458 0.000
V 2.458 5.859 0.000
V 4.345 0.944 0.000
V 5.859 4.345 0.000
Cr 1.175 4.576 1.422
Cr 2.226 1.175 1.422
Cr 4.576 5.628 1.422
Cr 5.628 2.226 1.422
Ir 0.000 0.000 0.000
Ir 3.401 3.401 0.000

19
Lattice="6.693 3.864 4.214 -6.693 3.864 4.214 0.000 -7.728 4.214" Properties=species:S:1:pos:R:3 comment="AcTb12Sm6 GGA-PBE optimized geometry" e_tot_ry_per_atom=-0.325 ef_ev_per_atom=0.20 pbc="T T T"
Ac 0.000 0.000 0.000
Tb -1.844 -1.065 3.346
Tb -1.733 -3.001 6.320
Tb -3.466 0.000 6.320
Tb 1.844 -1.065 3.346
Tb 0.000 2.129 3.346
Tb 1.733 -3.001 6.320
Tb -1.733 3.001 6.320
Tb 0.000 -2.129 9.295
Tb -1.844 1.065 9.295
Tb 3.466 0.000 6.320
Tb 1.733 3.001 6.320
Tb 1.844 1.065 9.295
Sm 0.000 -4.252 3.609
Sm -3.682 2.126 3.609
Sm -3.682 -2.126 9.032
Sm 3.682 2.126 3.609
Sm 3.682 -2.126 9.032
Sm 0.000 4.252 9.032

What did the third record say?
19
Lattice="6.693 3.864 4.214 -6.693 3.864 4.214 0.000 -7.728 4.214" Properties=species:S:1:pos:R:3 comment="AcTb12Sm6 GGA-PBE optimized geometry" e_tot_ry_per_atom=-0.325 ef_ev_per_atom=0.20 pbc="T T T"
Ac 0.000 0.000 0.000
Tb -1.844 -1.065 3.346
Tb -1.733 -3.001 6.320
Tb -3.466 0.000 6.320
Tb 1.844 -1.065 3.346
Tb 0.000 2.129 3.346
Tb 1.733 -3.001 6.320
Tb -1.733 3.001 6.320
Tb 0.000 -2.129 9.295
Tb -1.844 1.065 9.295
Tb 3.466 0.000 6.320
Tb 1.733 3.001 6.320
Tb 1.844 1.065 9.295
Sm 0.000 -4.252 3.609
Sm -3.682 2.126 3.609
Sm -3.682 -2.126 9.032
Sm 3.682 2.126 3.609
Sm 3.682 -2.126 9.032
Sm 0.000 4.252 9.032